Version one
Entry from Alexandria: an optimized crystal structure of YMoS (GGA-PBE).

The magnetic moment is 0.000 μB per formula unit.

The structure belongs to space group Amm2 (No. 38); the cell edges are 3.540, 3.914 and 17.459 Å and the angles 90.00°, 90.00° and 90.00°. The distinct sites, in fractional coordinates, are Y at (0.000, 0.000, 0.000), Y at (0.000, 0.000, 0.303), Mo at (0.000, 0.000, 0.645), Mo at (0.500, 0.000, 0.149), S at (0.500, 0.000, 0.427) and S at (0.500, 0.000, 0.752).

Version two
Entry from Alexandria: an optimized crystal structure of YMoS (GGA-PBE).

The magnetic moment is 0.000 μB per formula unit.

The structure belongs to space group Pm (No. 6); the cell edges are 3.514, 3.670 and 9.819 Å and the angles 90.00°, 93.80° and 90.00°. The distinct sites, in fractional coordinates, are Y at (0.000, 0.000, 0.000), Y at (0.077, 0.500, 0.366), Mo at (0.406, 0.500, 0.673), Mo at (0.911, 0.000, 0.613), S at (0.483, 0.500, 0.919) and S at (0.546, 0.000, 0.226).

Version three
Entry from Alexandria: an optimized crystal structure of YMoS (GGA-PBE).

The magnetic moment is 0.000 μB per formula unit.

The structure belongs to space group Cm (No. 8); the cell edges are 9.494, 3.670 and 8.118 Å and the angles 90.00°, 117.01° and 90.00°. The distinct sites, in fractional coordinates, are Y at (0.000, 0.000, 0.000), Y at (0.143, 0.000, 0.650), Mo at (0.112, 0.500, 0.332), Mo at (0.306, 0.000, 0.376), S at (0.322, 0.000, 0.075) and S at (0.458, 0.000, 0.723).

Stability ranking, top and bottom: version two is the most stable and version three is the least stable.

Version one
Entry from Alexandria: an optimized crystal structure of YMoS (GGA-PBE).

The magnetic moment is 0.000 μB per formula unit.

The structure belongs to space group P2_1/m (No. 11); the cell edges are 3.717, 3.694 and 8.716 Å and the angles 90.00°, 92.16° and 90.00°. The distinct sites, in fractional coordinates, are Y at (0.225, 0.250, 0.298), Mo at (0.304, 0.250, 0.936) and S at (0.267, 0.250, 0.642).

Version two
Entry from Alexandria: an optimized crystal structure of YMoS (GGA-PBE).

The magnetic moment is 0.000 μB per formula unit.

The structure belongs to space group Pmm2 (No. 25); the cell edges are 3.380, 3.482 and 10.053 Å and the angles 90.00°, 90.00° and 90.00°. The distinct sites, in fractional coordinates, are Y at (0.000, 0.000, 0.000), Y at (0.000, 0.500, 0.364), Mo at (0.000, 0.000, 0.673), Mo at (0.500, 0.500, 0.798), S at (0.500, 0.000, 0.481) and S at (0.500, 0.500, 0.147).

Version three
Entry from Alexandria: an optimized crystal structure of YMoS (GGA-PBE).

The magnetic moment is 0.000 μB per formula unit.

The structure belongs to space group Cm (No. 8); the cell edges are 9.487, 3.604 and 7.295 Å and the angles 90.00°, 102.06° and 90.00°. The distinct sites, in fractional coordinates, are Y at (0.000, 0.000, 0.000), Y at (0.218, 0.000, 0.613), Mo at (0.271, 0.500, 0.249), Mo at (0.454, 0.000, 0.350), S at (0.200, 0.500, 0.906) and S at (0.431, 0.500, 0.593).

Stability ranking, top and bottom: version one is the most stable and version three is the least stable.

Version one
Entry from Alexandria: an optimized crystal structure of YMoS (GGA-PBE).

The magnetic moment is 0.000 μB per formula unit.

The structure belongs to space group Amm2 (No. 38); the cell edges are 3.610, 3.534 and 18.781 Å and the angles 90.00°, 90.00° and 90.00°. The distinct sites, in fractional coordinates, are Y at (0.000, 0.000, 0.000), Y at (0.500, 0.000, 0.316), Mo at (0.000, 0.000, 0.165), Mo at (0.500, 0.000, 0.597), S at (0.000, 0.000, 0.765) and S at (0.500, 0.000, 0.459).

Version two
Entry from Alexandria: an optimized crystal structure of YMoS (GGA-PBE).

The magnetic moment is 0.000 μB per formula unit.

The structure belongs to space group P2/c (No. 13); the cell edges are 3.678, 7.635 and 5.446 Å and the angles 90.00°, 132.00° and 90.00°. The distinct sites, in fractional coordinates, are Y at (0.000, 0.160, 0.250), Mo at (0.000, 0.500, 0.000) and S at (0.000, 0.210, 0.750).

Stability ranking, top and bottom: version one is the most stable and version two is the least stable.